i.
Material: Ba3Zn4Pd4
Method: DFT, PBE-GGA
State: optimized geometry

Lattice parameters (Å, degrees): 4.6126 7.3382 15.5970 90.00 90.00 90.00
Last column: nearest neighbours and their distance in Å.
Space group Immm (No. 71)
Inequivalent atoms, fractional coordinates:
1 Ba 0.0000 0.0000 0.0000 (multiplicity 2)  6 Zn 3.24-3.29
2 Ba 0.0000 0.5000 0.1454 (multiplicity 4)  6 Zn 3.25-3.49, 6 Pd 3.26-3.36
3 Zn 0.0000 0.0000 0.2080 (multiplicity 4)  6 Pd 2.79-3.11
4 Zn 0.0000 0.1797 0.5000 (multiplicity 4)  1 Zn 2.64, 2 Pd 2.65
5 Pd 0.0000 0.3134 0.3421 (multiplicity 8)  3 Zn 2.65-2.79, 1 Pd 2.74

ii.
Material: Ba3Zn4Pd4
Method: DFT, PBE-GGA
State: optimized geometry

Lattice parameters (Å, degrees): 8.0996 8.0996 8.0996 90.00 90.00 90.00
Last column: nearest neighbours and their distance in Å.
Space group I-43m (No. 217)
Inequivalent atoms, fractional coordinates:
1 Ba 0.0000 0.0000 0.5000 (multiplicity 6)  4 Zn 3.33, 4 Pd 3.36
2 Zn 0.1929 0.1929 0.1929 (multiplicity 8)  4 Pd 2.54-2.70
3 Pd 0.1262 0.1262 0.8738 (multiplicity 8)  4 Zn 2.54-2.70

Relative energies in meV per atom: i 92; ii 0

i.
Material: BaZn2Pd2
Method: DFT, PBE-GGA
State: optimized geometry

Lattice parameters (Å, degrees): 7.9997 7.9997 3.0572 90.00 90.00 90.00
Last column: nearest neighbours and their distance in Å.
Space group P4/mbm (No. 127)
Inequivalent atoms, fractional coordinates:
1 Ba 0.0000 0.0000 0.0000 (multiplicity 2)  4 Pd 3.00, 2 Ba 3.06
2 Zn 0.1228 0.3772 0.5000 (multiplicity 4)  6 Pd 2.76-2.88, 3 Zn 2.78-3.06
3 Pd 0.1615 0.6615 0.0000 (multiplicity 4)  6 Zn 2.76-2.88, 2 Ba 3.00, 2 Pd 3.06

ii.
Material: BaZn2Pd2
Method: DFT, PBE-GGA
State: optimized geometry

Lattice parameters (Å, degrees): 4.4827 4.4827 10.8976 90.00 90.00 90.00
Last column: nearest neighbours and their distance in Å.
Space group I4/mmm (No. 139)
Inequivalent atoms, fractional coordinates:
1 Ba 0.0000 0.0000 0.0000 (multiplicity 2)  8 Pd 3.47, 8 Zn 3.53
2 Zn 0.0000 0.5000 0.2500 (multiplicity 4)  4 Pd 2.60
3 Pd 0.0000 0.0000 0.3710 (multiplicity 4)  4 Zn 2.60, 1 Pd 2.81

Relative energies in meV per atom: i 164; ii 0

i.
Material: BaZrPd3
Method: DFT, PBE-GGA
State: optimized geometry

Lattice parameters (Å, degrees): 5.1219 5.1219 5.1219 90.00 90.00 90.00
Last column: nearest neighbours and their distance in Å.
Space group Pm-3m (No. 221)
Inequivalent atoms, fractional coordinates:
1 Ba 0.0000 0.0000 0.0000 (multiplicity 1)  12 Pd 3.62
2 Zr 0.5000 0.5000 0.5000 (multiplicity 1)  6 Pd 2.56
3 Pd 0.0000 0.5000 0.5000 (multiplicity 3)  2 Zr 2.56

ii.
Material: BaZrPd3
Method: DFT, PBE-GGA
State: optimized geometry

Lattice parameters (Å, degrees): 5.2591 5.2591 5.2591 90.00 90.00 90.00
Last column: nearest neighbours and their distance in Å.
Space group Pm-3m (No. 221)
Inequivalent atoms, fractional coordinates:
1 Ba 0.0000 0.0000 0.0000 (multiplicity 1)  6 Pd 2.63
2 Zr 0.5000 0.5000 0.5000 (multiplicity 1)  12 Pd 3.72
3 Pd 0.0000 0.0000 0.5000 (multiplicity 3)  2 Ba 2.63

Relative energies in meV per atom: i 0; ii 1295

i.
Material: Ba2ZrPd2
Method: DFT, PBE-GGA
State: optimized geometry

Lattice parameters (Å, degrees): 3.8124 3.8124 21.7743 90.00 90.00 90.00
Last column: nearest neighbours and their distance in Å.
Space group I4/mmm (No. 139)
Inequivalent atoms, fractional coordinates:
1 Ba 0.0000 0.0000 0.1311 (multiplicity 4)  4 Pd 3.22
2 Zr 0.0000 0.0000 0.5000 (multiplicity 2)  4 Zr 3.81, 8 Ba 3.93
3 Pd 0.0000 0.5000 0.2500 (multiplicity 4)  4 Pd 2.70

ii.
Material: Ba2ZrPd2
Method: DFT, PBE-GGA
State: optimized geometry

Lattice parameters (Å, degrees): 9.0608 9.0608 3.3824 90.00 90.00 90.00
Last column: nearest neighbours and their distance in Å.
Space group P4/mbm (No. 127)
Inequivalent atoms, fractional coordinates:
1 Ba 0.1365 0.3635 0.0000 (multiplicity 4)  6 Pd 2.99-3.28
2 Zr 0.0000 0.0000 0.0000 (multiplicity 2)  2 Zr 3.38, 4 Ba 3.52, 8 Pd 3.76
3 Pd 0.1714 0.6714 0.5000 (multiplicity 4)  6 Ba 2.99-3.28

Relative energies in meV per atom: i 27; ii 0

i.
Material: BaPm3
Method: DFT, PBE-GGA
State: optimized geometry

Lattice parameters (Å, degrees): 3.7754 6.0511 6.7925 90.00 90.00 90.00
Last column: nearest neighbours and their distance in Å.
Space group Pmm2 (No. 25)
Inequivalent atoms, fractional coordinates:
1 Ba 0.0000 0.0000 0.0000 (multiplicity 1)  2 Ba 3.78, 10 Pm 3.80-3.91
2 Pm 0.0000 0.5000 0.6607 (multiplicity 1)  8 Pm 3.65-3.78, 2 Ba 3.80
3 Pm 0.5000 0.0000 0.4964 (multiplicity 1)  8 Pm 3.63-3.78, 4 Ba 3.86-3.91
4 Pm 0.5000 0.5000 0.2004 (multiplicity 1)  6 Pm 3.63-3.78, 4 Ba 3.82

ii.
Material: BaPm3
Method: DFT, PBE-GGA
State: optimized geometry

Lattice parameters (Å, degrees): 5.3577 5.3577 5.3577 90.00 90.00 90.00
Last column: nearest neighbours and their distance in Å.
Space group Pm-3m (No. 221)
Inequivalent atoms, fractional coordinates:
1 Ba 0.0000 0.0000 0.0000 (multiplicity 1)  12 Pm 3.79
2 Pm 0.0000 0.5000 0.5000 (multiplicity 3)  4 Ba 3.79, 8 Pm 3.79

Relative energies in meV per atom: i 0; ii 24

i.
Material: BaPm
Method: DFT, PBE-GGA
State: optimized geometry

Lattice parameters (Å, degrees): 3.9905 3.9905 11.4954 90.00 90.00 90.00
Last column: nearest neighbours and their distance in Å.
Space group P4/nmm (No. 129, origin choice 2)
Inequivalent atoms, fractional coordinates:
1 Ba 0.2500 0.2500 0.1537 (multiplicity 2)  4 Ba 3.99, 4 Pm 4.04
2 Pm 0.2500 0.2500 0.5948 (multiplicity 2)  8 Pm 3.57-3.99

ii.
Material: BaPm
Method: DFT, PBE-GGA
State: optimized geometry

Lattice parameters (Å, degrees): 3.9346 3.9346 6.5667 90.00 90.00 120.00
Last column: nearest neighbours and their distance in Å.
Space group P-6m2 (No. 187)
Inequivalent atoms, fractional coordinates:
1 Ba 0.0000 0.0000 0.0000 (multiplicity 1)  6 Ba 3.93, 6 Pm 3.99
2 Pm 0.6667 0.3333 0.5000 (multiplicity 1)  6 Pm 3.93, 6 Ba 3.99

Relative energies in meV per atom: i 0; ii 124